Computed, not measured: a geometry-optimized Ca4Tl3 structure at the PBE level of DFT.

abc: 14.7340 14.7340 6.7739
angles: 90.00 90.00 120.00
Space group R-3 (No. 148, hexagonal axes)
Symmetry-distinct sites (fractional):
Ca (0.0000, 0.0000, 0.0000) x3
Ca (0.0000, 0.0000, 0.5000) x3
Ca (0.0518, 0.7987, 0.1711) x18
Tl (0.0471, 0.8235, 0.6795) x18

Computed properties:
Raw total energy: -2.542 eV/atom
D(E_F): 3.94 states/eV/f.u.
Energy above the lowest structure with this stoichiometry: 0 meV per atom


Computed, not measured: a geometry-optimized Ca4Tl3 structure at the PBE level of DFT.

abc: 4.174 4.174 26.302
angles: 90.00 90.00 90.00
Space group I4/mmm (No. 139)
Symmetry-distinct sites (fractional):
Ca (0.000, 0.000, 0.066) x4
Ca (0.000, 0.000, 0.342) x4
Tl (0.000, 0.000, 0.216) x4
Tl (0.000, 0.000, 0.500) x2

Computed properties:
Raw total energy: -2.408 eV/atom
D(E_F): 4.35 states/eV/f.u.
Energy above the lowest structure with this stoichiometry: 134 meV per atom


Computed, not measured: a geometry-optimized CaTl2 structure at the PBE level of DFT.

abc: 9.066 9.066 9.066
angles: 90.00 90.00 90.00
Space group Fd-3m (No. 227, origin choice 2)
Symmetry-distinct sites (fractional):
Ca (0.125, 0.125, 0.125) x8
Tl (0.000, 0.000, 0.500) x16

Computed properties:
Raw total energy: -2.441 eV/atom
D(E_F): 1.72 states/eV/f.u.


Computed, not measured: a geometry-optimized CaTl structure at the PBE level of DFT.

abc: 5.7664 5.7664 9.2360
angles: 90.00 90.00 120.00
Space group P6_3/mmc (No. 194)
Symmetry-distinct sites (fractional):
Ca (0.0000, 0.0000, 0.2500) x2
Ca (0.3333, 0.6667, 0.2500) x2
Tl (0.3333, 0.6667, 0.5852) x4

Computed properties:
Raw total energy: -2.242 eV/atom
D(E_F): 1.29 states/eV/f.u.


Computed, not measured: a geometry-optimized CaTl structure at the PBE level of DFT.

abc: 12.155 3.767 8.632
angles: 90.00 109.23 90.00
Space group Cm (No. 8)
Symmetry-distinct sites (fractional):
Ca (0.000, 0.000, 0.000) x2
Ca (0.046, 0.000, 0.602) x2
Ca (0.224, 0.500, 0.360) x2
Tl (0.219, 0.500, 0.954) x2
Tl (0.330, 0.000, 0.689) x2
Tl (0.426, 0.000, 0.263) x2

Computed properties:
Raw total energy: -2.486 eV/atom
D(E_F): 1.02 states/eV/f.u.


Computed, not measured: a geometry-optimized CaTl structure at the PBE level of DFT.

abc: 3.888 3.888 3.910
angles: 90.00 90.00 90.00
Space group P4/mmm (No. 123)
Symmetry-distinct sites (fractional):
Ca (0.000, 0.000, 0.000) x1
Tl (0.500, 0.500, 0.500) x1

Computed properties:
Raw total energy: -2.621 eV/atom
D(E_F): 1.87 states/eV/f.u.


Computed, not measured: a geometry-optimized CaTl2 structure at the PBE level of DFT.

abc: 4.002 4.002 11.225
angles: 90.00 90.00 90.00
Space group I4/mmm (No. 139)
Symmetry-distinct sites (fractional):
Ca (0.000, 0.000, 0.000) x2
Tl (0.000, 0.000, 0.327) x4

Computed properties:
Raw total energy: -2.500 eV/atom
D(E_F): 1.87 states/eV/f.u.


Computed, not measured: a geometry-optimized Ca3Tl structure at the PBE level of DFT.

abc: 13.184 13.184 6.564
angles: 90.00 90.00 90.00
Space group I-4 (No. 82)
Symmetry-distinct sites (fractional):
Ca (0.031, 0.365, 0.479) x8
Ca (0.081, 0.885, 0.248) x8
Ca (0.169, 0.780, 0.759) x8
Tl (0.051, 0.294, 0.981) x8

Computed properties:
Raw total energy: -2.348 eV/atom
D(E_F): 3.43 states/eV/f.u.


Computed, not measured: a geometry-optimized Ca3Tl structure at the PBE level of DFT.

abc: 3.873 3.873 9.562
angles: 90.00 90.00 90.00
Space group P4/mmm (No. 123)
Symmetry-distinct sites (fractional):
Ca (0.000, 0.000, 0.000) x1
Ca (0.500, 0.500, 0.298) x2
Tl (0.000, 0.000, 0.500) x1

Computed properties:
Raw total energy: -2.318 eV/atom
D(E_F): 3.50 states/eV/f.u.


Computed, not measured: a geometry-optimized CaTl structure at the PBE level of DFT.

abc: 5.5858 5.5858 6.3693
angles: 90.00 90.00 120.00
Space group P6_3/mmc (No. 194)
Symmetry-distinct sites (fractional):
Ca (0.3333, 0.6667, 0.2500) x2
Tl (0.3333, 0.6667, 0.7500) x2

Computed properties:
Raw total energy: -2.061 eV/atom
D(E_F): 2.82 states/eV/f.u.


Computed, not measured: a geometry-optimized Ca8Tl structure at the PBE level of DFT.

abc: 11.246 11.246 5.395
angles: 90.00 90.00 90.00
Space group I4/mmm (No. 139)
Symmetry-distinct sites (fractional):
Ca (0.000, 0.324, 0.000) x8
Ca (0.157, 0.157, 0.500) x8
Tl (0.000, 0.000, 0.000) x2

Computed properties:
Raw total energy: -2.119 eV/atom
D(E_F): 8.22 states/eV/f.u.


Computed, not measured: a geometry-optimized Ca3Tl structure at the PBE level of DFT.

abc: 5.372 5.372 18.194
angles: 90.00 90.00 90.00
Space group I4/mmm (No. 139)
Symmetry-distinct sites (fractional):
Ca (0.000, 0.000, 0.125) x4
Ca (0.000, 0.500, 0.000) x4
Ca (0.000, 0.500, 0.250) x4
Tl (0.000, 0.000, 0.366) x4

Computed properties:
Raw total energy: -2.300 eV/atom
D(E_F): 3.64 states/eV/f.u.


Computed, not measured: a geometry-optimized CaTmTl structure at the PBE level of DFT.

abc: 7.391 7.391 7.391
angles: 90.00 90.00 90.00
Space group F-43m (No. 216)
Symmetry-distinct sites (fractional):
Ca (0.000, 0.000, 0.000) x4
Tm (0.000, 0.000, 0.500) x4
Tl (0.250, 0.250, 0.250) x4

Computed properties:
Raw total energy: -3.063 eV/atom
D(E_F): 1.87 states/eV/f.u.
Energy above the lowest structure with this stoichiometry: 172 meV per atom


Computed, not measured: a geometry-optimized CaTm5Tl6 structure at the PBE level of DFT.

abc: 5.367 16.132 7.443
angles: 90.00 90.00 90.00
Space group Cmmm (No. 65)
Symmetry-distinct sites (fractional):
Ca (0.000, 0.000, 0.000) x2
Tm (0.000, 0.000, 0.500) x2
Tm (0.000, 0.333, 0.000) x4
Tm (0.000, 0.335, 0.500) x4
Tl (0.000, 0.168, 0.253) x8
Tl (0.000, 0.500, 0.251) x4

Computed properties:
Raw total energy: -3.524 eV/atom
D(E_F): 8.46 states/eV/f.u.
Energy above the lowest structure with this stoichiometry: 0 meV per atom


Computed, not measured: a geometry-optimized Ca5Tm3Tl12 structure at the PBE level of DFT.

abc: 18.107 18.107 18.107
angles: 90.00 90.00 90.00
Space group Ia-3d (No. 230)
Symmetry-distinct sites (fractional):
Ca (0.000, 0.000, 0.000) x16
Ca (0.000, 0.250, 0.375) x24
Tm (0.000, 0.250, 0.125) x24
Tl (0.002, 0.076, 0.651) x96

Computed properties:
Raw total energy: -2.501 eV/atom
D(E_F): 14.78 states/eV/f.u.


Computed, not measured: a geometry-optimized CaTmTl4 structure at the PBE level of DFT.

abc: 11.970 3.783 7.929
angles: 90.00 106.35 90.00
Space group C2/m (No. 12)
Symmetry-distinct sites (fractional):
Ca (0.000, 0.000, 0.000) x2
Tm (0.000, 0.000, 0.500) x2
Tl (0.165, 0.500, 0.342) x4
Tl (0.175, 0.500, 0.823) x4

Computed properties:
Raw total energy: -2.815 eV/atom
D(E_F): 3.56 states/eV/f.u.
Energy above the lowest structure with this stoichiometry: 0 meV per atom


Computed, not measured: a geometry-optimized CaTm4Tl5 structure at the PBE level of DFT.

abc: 3.745 3.745 19.251
angles: 90.00 90.00 90.00
Space group P4/mmm (No. 123)
Symmetry-distinct sites (fractional):
Ca (0.000, 0.000, 0.000) x1
Tm (0.000, 0.000, 0.204) x2
Tm (0.000, 0.000, 0.402) x2
Tl (0.500, 0.500, 0.107) x2
Tl (0.500, 0.500, 0.304) x2
Tl (0.500, 0.500, 0.500) x1

Computed properties:
Raw total energy: -3.496 eV/atom
D(E_F): 5.36 states/eV/f.u.


Computed, not measured: a geometry-optimized CaTm2Tl structure at the PBE level of DFT.

abc: 3.635 3.635 9.458
angles: 90.00 90.00 90.00
Space group P4/mmm (No. 123)
Symmetry-distinct sites (fractional):
Ca (0.000, 0.000, 0.000) x1
Tm (0.500, 0.500, 0.292) x2
Tl (0.000, 0.000, 0.500) x1

Computed properties:
Raw total energy: -3.397 eV/atom
D(E_F): 5.27 states/eV/f.u.
Energy above the lowest structure with this stoichiometry: 45 meV per atom


Computed, not measured: a geometry-optimized CaTm4Tl7 structure at the PBE level of DFT.

abc: 13.750 5.615 11.322
angles: 90.00 124.87 90.00
Space group C2/m (No. 12)
Symmetry-distinct sites (fractional):
Ca (0.000, 0.000, 0.000) x2
Tm (0.084, 0.500, 0.788) x4
Tm (0.212, 0.500, 0.331) x4
Tl (0.000, 0.500, 0.000) x2
Tl (0.076, 0.000, 0.332) x4
Tl (0.136, 0.500, 0.555) x4
Tl (0.217, 0.000, 0.885) x4

Computed properties:
Raw total energy: -3.141 eV/atom
D(E_F): 7.18 states/eV/f.u.


Computed, not measured: a geometry-optimized CaTm3Tl3 structure at the PBE level of DFT.

abc: 9.4066 9.4066 5.2321
angles: 90.00 90.00 120.00
Space group P6_3/m (No. 176)
Symmetry-distinct sites (fractional):
Ca (0.3333, 0.6667, 0.2500) x2
Tm (0.0040, 0.7746, 0.7500) x6
Tl (0.0690, 0.4485, 0.7500) x6

Computed properties:
Raw total energy: -3.440 eV/atom
D(E_F): 3.68 states/eV/f.u.